(i)
First-principles (PBE) data for a relaxed NiPdS2 crystal, as listed in Alexandria.

## Properties
The density of states at the Fermi level is 1.14 states/eV/cell. The theoretical density is 5.71 Mg/m³.

The structure in POSCAR format:
```
NiPdS2
1.0
-0.204 -0.191 7.264
3.040 -0.071 6.603
1.250 2.717 6.626
Ni S Pd
1 2 1
direct
0.500 0.500 0.500
0.891 0.891 0.891
0.109 0.109 0.109
0.000 0.000 0.000
```



(ii)
First-principles (PBE) data for a relaxed NiPdS2 crystal, as listed in Alexandria.

## Properties
The density of states at the Fermi level is 3.15 states/eV/cell. The theoretical density is 5.36 Mg/m³.

The structure in POSCAR format:
```
NiPdS2
1.0
-0.324 1.927 -3.126
-3.222 0.082 -1.789
-2.818 5.537 1.532
Ni Pd S
1 1 2
direct
0.129 0.129 0.612
0.620 0.620 0.139
0.011 0.011 0.967
0.489 0.489 0.532
```



(iii)
First-principles (PBE) data for a relaxed NiPdS2 crystal, as listed in Alexandria.

## Properties
The density of states at the Fermi level is 2.15 states/eV/cell. The theoretical density is 6.84 Mg/m³.

The structure in POSCAR format:
```
NiPdS2
1.0
0.000 3.030 3.030
3.030 0.000 3.030
3.030 3.030 0.000
Ni S Pd
1 2 1
direct
0.000 0.000 0.000
0.250 0.250 0.250
0.750 0.750 0.750
0.500 0.500 0.500
```



Which one is the least stable? From the structures above, (iii).